#i
# Tb2Pr2Er3 | Alexandria | PBE | optimized geometry
data_Tb2Pr2Er3
_cell_length_a 11.2908
_cell_length_b 5.0644
_cell_length_c 8.0298
_cell_angle_alpha 90.00
_cell_angle_beta 98.22
_cell_angle_gamma 90.00
_symmetry_space_group_name_H-M 'C 1 2/m 1'
_symmetry_Int_Tables_number 12
_symmetry_space_group_name_Hall '-C 2y'
loop_
_atom_site_label
_atom_site_type_symbol
_atom_site_fract_x
_atom_site_fract_y
_atom_site_fract_z
Tb1 Tb 0.2135 0.0000 0.1438
Pr1 Pr 0.0718 0.0000 0.7153
Er1 Er 0.0000 0.5000 0.0000
Er2 Er 0.1436 0.5000 0.4282
# Fermi-level density of states ... 1.353 states/eV per atom

#ii
# Tb2Pr2Er3 | Alexandria | PBE | optimized geometry
data_Tb2Pr2Er3
_cell_length_a 9.7564
_cell_length_b 9.7564
_cell_length_c 9.7564
_cell_angle_alpha 90.00
_cell_angle_beta 90.00
_cell_angle_gamma 90.00
_symmetry_space_group_name_H-M 'I 21 3'
_symmetry_Int_Tables_number 199
_symmetry_space_group_name_Hall 'I 2b 2c 3'
loop_
_atom_site_label
_atom_site_type_symbol
_atom_site_fract_x
_atom_site_fract_y
_atom_site_fract_z
Tb1 Tb 0.0405 0.0405 0.0405
Pr1 Pr 0.1576 0.3424 0.6576
Er1 Er 0.0000 0.2500 0.3023
# Fermi-level density of states ... 1.325 states/eV per atom

It is #i that is the most stable of them.

#i
# Mn2CrTc | Alexandria | PBE | optimized geometry
data_Mn2CrTc
_cell_length_a 2.5732
_cell_length_b 2.5732
_cell_length_c 7.3465
_cell_angle_alpha 90.00
_cell_angle_beta 90.00
_cell_angle_gamma 90.00
_symmetry_space_group_name_H-M 'P 4 m m'
_symmetry_Int_Tables_number 99
_symmetry_space_group_name_Hall 'P 4 -2'
loop_
_atom_site_label
_atom_site_type_symbol
_atom_site_fract_x
_atom_site_fract_y
_atom_site_fract_z
Mn1 Mn 0.0000 0.0000 0.0000
Mn2 Mn 0.5000 0.5000 0.2186
Cr1 Cr 0.5000 0.5000 0.7650
Tc1 Tc 0.0000 0.0000 0.4858
# Fermi-level density of states ... 1.097 states/eV per atom

#ii
# Mn2CrTc | Alexandria | PBE | optimized geometry
data_Mn2CrTc
_cell_length_a 3.0574
_cell_length_b 4.1061
_cell_length_c 7.9474
_cell_angle_alpha 90.00
_cell_angle_beta 90.00
_cell_angle_gamma 90.00
_symmetry_space_group_name_H-M 'C m m m'
_symmetry_Int_Tables_number 65
_symmetry_space_group_name_Hall '-C 2 2'
loop_
_atom_site_label
_atom_site_type_symbol
_atom_site_fract_x
_atom_site_fract_y
_atom_site_fract_z
Mn1 Mn 0.0000 0.0000 0.2375
Cr1 Cr 0.0000 0.5000 0.0000
Tc1 Tc 0.0000 0.5000 0.5000
# Fermi-level density of states ... 1.042 states/eV per atom

It is #ii that is the most stable of them.

#i
# OsRu2Br | Alexandria | PBE | optimized geometry
data_OsRu2Br
_cell_length_a 2.9088
_cell_length_b 4.5856
_cell_length_c 9.0126
_cell_angle_alpha 90.00
_cell_angle_beta 90.00
_cell_angle_gamma 90.00
_symmetry_space_group_name_H-M 'I m m m'
_symmetry_Int_Tables_number 71
_symmetry_space_group_name_Hall '-I 2 2'
loop_
_atom_site_label
_atom_site_type_symbol
_atom_site_fract_x
_atom_site_fract_y
_atom_site_fract_z
Os1 Os 0.0000 0.0000 0.0000
Ru1 Ru 0.0000 0.5000 0.2355
Br1 Br 0.0000 0.0000 0.5000
# Fermi-level density of states ... 1.363 states/eV per atom

#ii
# OsRu2Br | Alexandria | PBE | optimized geometry
data_OsRu2Br
_cell_length_a 5.6888
_cell_length_b 7.5288
_cell_length_c 2.8359
_cell_angle_alpha 90.00
_cell_angle_beta 90.00
_cell_angle_gamma 90.00
_symmetry_space_group_name_H-M 'C m m m'
_symmetry_Int_Tables_number 65
_symmetry_space_group_name_Hall '-C 2 2'
loop_
_atom_site_label
_atom_site_type_symbol
_atom_site_fract_x
_atom_site_fract_y
_atom_site_fract_z
Os1 Os 0.0000 0.0000 0.0000
Ru1 Ru 0.2500 0.2500 0.5000
Br1 Br 0.0000 0.5000 0.0000
# Fermi-level density of states ... 1.002 states/eV per atom

It is #ii that is the most stable of them.

#i
# B2C | Alexandria | PBE | optimized geometry
data_B2C
_cell_length_a 13.7489
_cell_length_b 2.7557
_cell_length_c 4.6720
_cell_angle_alpha 90.00
_cell_angle_beta 103.05
_cell_angle_gamma 90.00
_symmetry_space_group_name_H-M 'C 1 2/m 1'
_symmetry_Int_Tables_number 12
_symmetry_space_group_name_Hall '-C 2y'
loop_
_atom_site_label
_atom_site_type_symbol
_atom_site_fract_x
_atom_site_fract_y
_atom_site_fract_z
B1 B 0.0964 0.0000 0.2150
B2 B 0.1068 0.0000 0.6158
B3 B 0.2133 0.0000 0.4713
B4 B 0.2224 0.5000 0.7897
C1 C 0.0603 0.5000 0.0493
C2 C 0.1009 0.5000 0.7697
# Fermi-level density of states ... 0.140 states/eV per atom

#ii
# B2C | Alexandria | PBE | optimized geometry
data_B2C
_cell_length_a 8.1074
_cell_length_b 2.5850
_cell_length_c 8.1731
_cell_angle_alpha 90.00
_cell_angle_beta 110.49
_cell_angle_gamma 90.00
_symmetry_space_group_name_H-M 'C 1 m 1'
_symmetry_Int_Tables_number 8
_symmetry_space_group_name_Hall 'C -2y'
loop_
_atom_site_label
_atom_site_type_symbol
_atom_site_fract_x
_atom_site_fract_y
_atom_site_fract_z
B1 B 0.0000 0.0000 0.0000
B2 B 0.0084 0.5000 0.4817
B3 B 0.1283 0.5000 0.2970
B4 B 0.2687 0.5000 0.8894
B5 B 0.2774 0.0000 0.4046
B6 B 0.3281 0.0000 0.6283
B7 B 0.3942 0.0000 0.2410
B8 B 0.4453 0.5000 0.7724
C1 C 0.1047 0.5000 0.0909
C2 C 0.1156 0.0000 0.5890
C3 C 0.1531 0.0000 0.7911
C4 C 0.3024 0.5000 0.1163
# Fermi-level density of states ... 0.157 states/eV per atom

It is #i that is the most stable of them.